(1)
First-principles (PBE-GGA) data for an optimized crystal structure of Pr2Dy3ErAs6, as listed in the Alexandria database.

Output
SG	C2/m, No. 12
E_form	-1.508	eV/atom

Cell: 4.180 8.354 9.340 Å, 102.92 102.93 90.00°
Positions (direct):
Pr  0.835  0.668  0.669
Pr  0.165  0.332  0.331
Dy  0.500  0.500  0.000
Dy  0.833  0.166  0.665
Dy  0.167  0.834  0.335
Er  0.500  0.000  0.000
As  0.334  0.925  0.669
As  0.664  0.590  0.328
As  0.666  0.075  0.331
As  0.997  0.246  0.994
As  0.003  0.754  0.006
As  0.336  0.410  0.672

---

(2)
First-principles (PBE-GGA) data for an optimized crystal structure of CsHoSn2, as listed in the Alexandria database.

Output
SG	P4/mmm, No. 123
E_form	-0.418	eV/atom

Cell: 4.096 4.096 8.494 Å, 90.00 90.00 90.00°
Positions (direct):
Cs  0.500  0.500  0.500
Ho  0.500  0.500  0.000
Sn  0.000  0.000  0.828
Sn  0.000  0.000  0.172

---

What is the E_form in the second record?
-0.418 eV/atom

---

Which of these has the lowest E_form?
Pr2Dy3ErAs6

---

The highest E_form belongs to which entry?
CsHoSn2

---

Repeat the second record exactly.
First-principles (PBE-GGA) data for an optimized crystal structure of CsHoSn2, as listed in the Alexandria database.

Output
SG	P4/mmm, No. 123
E_form	-0.418	eV/atom

Cell: 4.096 4.096 8.494 Å, 90.00 90.00 90.00°
Positions (direct):
Cs  0.500  0.500  0.500
Ho  0.500  0.500  0.000
Sn  0.000  0.000  0.828
Sn  0.000  0.000  0.172